1.
# ScZnIn

An optimized crystal structure of ScZnIn (GGA-PBEsol, the Alexandria database).

- D(E_F) (states/eV/atom) = 0.263
- energy relative to the elements (eV per atom) = -0.3507
- size of the total moment (μB per cell) = 0.00

Lattice parameters (Å, degrees): 4.4405 4.4405 4.4405 60.00 60.00 60.00
Positions (direct):
Sc 0.5000 0.5000 0.5000
In 0.0000 0.0000 0.0000
Zn 0.2500 0.2500 0.2500


2.
# MgZnSb3

An optimized crystal structure of MgZnSb3 (GGA-PBEsol, the Alexandria database).

- D(E_F) (states/eV/atom) = 0.841
- formation energy from raw total energies (eV/atom) = 0.722
- size of the total moment (μB per cell) = 0.00

Lattice parameters (Å, degrees): 5.2891 5.2891 5.2891 90.00 90.00 90.00
Positions (direct):
Zn 0.5000 0.5000 0.5000
Mg 0.0000 0.0000 0.0000
Sb 0.5000 0.0000 0.0000
Sb 0.0000 0.0000 0.5000
Sb 0.0000 0.5000 0.0000


3.
# ReHgAs2

An optimized crystal structure of ReHgAs2 (GGA-PBEsol, the Alexandria database).

- D(E_F) (states/eV/atom) = 0.629
- energy relative to the elements (eV per atom) = 0.2056
- size of the total moment (μB per cell) = 0.00

Lattice parameters (Å, degrees): 3.0931 4.5775 6.3611 108.95 90.00 109.75
Positions (direct):
As 0.2284 0.4568 0.7726
As 0.0699 0.1398 0.1246
Hg 0.4233 0.8465 0.5093
Re 0.7785 0.5569 0.0935


4.
# SbIr

An optimized crystal structure of SbIr (GGA-PBEsol, the Alexandria database).

- D(E_F) (states/eV/atom) = 0.583
- formation energy from raw total energies (eV/atom) = 0.267
- size of the total moment (μB per cell) = 0.00

Lattice parameters (Å, degrees): 3.6330 3.6330 6.7917 90.00 90.00 120.00
Positions (direct):
Ir 0.6667 0.3333 0.7500
Ir 0.3333 0.6667 0.2500
Sb 0.0000 0.0000 0.5000
Sb 0.0000 0.0000 0.0000


5.
# ScIn2Tc

An optimized crystal structure of ScIn2Tc (GGA-PBEsol, the Alexandria database).

- D(E_F) (states/eV/atom) = 0.942
- energy relative to the elements (eV per atom) = 0.1195
- size of the total moment (μB per cell) = 0.00

Lattice parameters (Å, degrees): 3.1142 3.1142 9.4903 80.56 80.56 60.00
Positions (direct):
Tc 0.0000 0.0000 0.0000
Sc 0.5000 0.5000 0.5000
In 0.7427 0.7427 0.7718
In 0.2573 0.2573 0.2282


6.
# Ti3Nb2V3O16

An optimized crystal structure of Ti3Nb2V3O16 (GGA-PBEsol, the Alexandria database).

- D(E_F) (states/eV/atom) = 0.393
- formation energy from raw total energies (eV/atom) = -2.574
- size of the total moment (μB per cell) = 5.05

Lattice parameters (Å, degrees): 5.8371 5.8411 9.3426 90.00 90.60 120.02
Each line ends with the local moment (μB).
Positions (direct):
Ti 0.1600 0.3358 0.7832  0.17
Ti 0.3366 0.1673 0.2860  0.17
Ti 0.1610 0.8257 0.7827  0.17
V 0.6559 0.8283 0.7886  1.36
V 0.8390 0.1829 0.2859  1.29
V 0.8391 0.6554 0.2861  1.29
Nb 0.3595 0.6790 0.5072  0.20
Nb 0.6640 0.3328 0.0083  0.19
O 0.5226 0.0436 0.1655  -0.01
O 0.0371 0.5187 0.6631  -0.01
O 0.6716 0.3354 0.3974  -0.02
O 0.9667 0.4831 0.1623  -0.02
O 0.1736 0.8285 0.3988  -0.01
O 0.8249 0.1636 0.8995  -0.01
O 0.4757 0.5159 0.6652  -0.01
O 0.9898 0.9953 0.6891  0.00
O 0.5225 0.4787 0.1657  -0.01
O 0.1736 0.3447 0.3986  -0.01
O 0.4758 0.9600 0.6649  -0.01
O 0.3328 0.1667 0.9004  0.00
O 0.9917 0.9955 0.1953  -0.03
O 0.6750 0.8372 0.3962  -0.02
O 0.3265 0.6637 0.8950  -0.01
O 0.8251 0.6620 0.8994  -0.01


7.
# Rb2BeNi2

An optimized crystal structure of Rb2BeNi2 (GGA-PBEsol, the Alexandria database).

- D(E_F) (states/eV/atom) = 1.875
- energy relative to the elements (eV per atom) = 0.9655
- size of the total moment (μB per cell) = 0.37

Lattice parameters (Å, degrees): 5.5210 5.5210 5.5210 109.96 109.96 108.50
Each line ends with the local moment (μB).
Positions (direct):
Rb 0.2500 0.7500 0.5000  0.00
Rb 0.7500 0.2500 0.5000  0.00
Ni 0.6822 0.6822 0.0000  0.24
Ni 0.3178 0.3178 0.0000  0.24
Be 0.0000 0.0000 0.0000  -0.02


8.
# Ni2HgIr

An optimized crystal structure of Ni2HgIr (GGA-PBEsol, the Alexandria database).

- D(E_F) (states/eV/atom) = 1.551
- energy relative to the elements (eV per atom) = 0.4367
- size of the total moment (μB per cell) = 0.99

Lattice parameters (Å, degrees): 2.6928 2.6928 8.8159 90.00 90.00 118.09
Each line ends with the local moment (μB).
Positions (direct):
Ir 0.5000 0.5000 0.2230  0.11
Ni 0.5000 0.5000 0.7738  0.43
Ni 0.0000 0.0000 0.9894  0.49
Hg 0.0000 0.0000 0.5138  -0.01


9.
# Rb2MnO4

An optimized crystal structure of Rb2MnO4 (GGA-PBEsol, the Alexandria database).

- D(E_F) (states/eV/atom) = 0.854
- formation energy from raw total energies (eV/atom) = -1.691
- size of the total moment (μB per cell) = 4.00

Lattice parameters (Å, degrees): 5.9788 7.9465 10.6158 90.00 90.00 90.00
Each line ends with the local moment (μB).
Positions (direct):
O 0.7500 0.0267 0.5846  0.03
O 0.2500 0.9733 0.4154  0.03
O 0.0254 0.1931 0.1500  0.03
O 0.4746 0.6931 0.3500  0.03
O 0.5254 0.3069 0.6500  0.03
O 0.7500 0.5267 0.9154  0.03
O 0.2500 0.2011 0.9320  0.03
O 0.0254 0.6931 0.3500  0.03
O 0.9746 0.8069 0.8500  0.03
O 0.9746 0.3069 0.6500  0.03
O 0.7500 0.7989 0.0680  0.03
O 0.4746 0.1931 0.1500  0.03
O 0.2500 0.7011 0.5680  0.03
O 0.5254 0.8069 0.8500  0.03
O 0.7500 0.2989 0.4320  0.03
O 0.2500 0.4733 0.0846  0.03
Rb 0.2500 0.0140 0.6950  0.00
Rb 0.2500 0.3339 0.4124  0.00
Rb 0.7500 0.9860 0.3050  0.00
Rb 0.2500 0.5140 0.8050  0.00
Rb 0.7500 0.6661 0.5876  0.00
Rb 0.7500 0.4860 0.1950  0.00
Rb 0.2500 0.8339 0.0876  0.00
Rb 0.7500 0.1661 0.9124  0.00
Mn 0.2500 0.7670 0.4205  0.78
Mn 0.2500 0.2670 0.0795  0.78
Mn 0.7500 0.7330 0.9205  0.78
Mn 0.7500 0.2330 0.5795  0.78


10.
# ScBe

An optimized crystal structure of ScBe (GGA-PBEsol, the Alexandria database).

- D(E_F) (states/eV/atom) = 1.030
- energy relative to the elements (eV per atom) = 0.3364
- size of the total moment (μB per cell) = 0.00

Lattice parameters (Å, degrees): 4.3175 4.3175 4.3175 63.47 63.47 63.47
Positions (direct):
Be 0.1026 0.1026 0.1026
Be 0.8974 0.8974 0.8974
Sc 0.6433 0.6433 0.6433
Sc 0.3567 0.3567 0.3567


11.
# AgHg2P

An optimized crystal structure of AgHg2P (GGA-PBEsol, the Alexandria database).

- D(E_F) (states/eV/atom) = 0.363
- energy relative to the elements (eV per atom) = 0.3259
- size of the total moment (μB per cell) = 0.00

Lattice parameters (Å, degrees): 2.9988 2.9988 8.7644 90.00 90.00 105.40
Positions (direct):
P 0.5000 0.5000 0.5000
Hg 0.0000 0.0000 0.7495
Hg 0.0000 0.0000 0.2505
Ag 0.5000 0.5000 0.0000


12.
# LiSi3Cl

An optimized crystal structure of LiSi3Cl (GGA-PBEsol, the Alexandria database).

- D(E_F) (states/eV/atom) = 0.957
- formation energy from raw total energies (eV/atom) = 0.816
- size of the total moment (μB per cell) = 0.01

Lattice parameters (Å, degrees): 4.4901 4.4901 4.4901 90.00 90.00 90.00
Positions (direct):
Cl 0.5000 0.5000 0.5000
Li 0.0000 0.0000 0.0000
Si 0.5000 0.0000 0.0000
Si 0.0000 0.5000 0.0000
Si 0.0000 0.0000 0.5000